Entry from the Alexandria database: YAs2Au2 after structural relaxation (PBE).

Unit cell a=4.015 b=4.015 c=7.095 alpha=73.57 beta=73.57 gamma=90.00
Sites, in units of the cell vectors:
Au: 0.750 0.250 0.500
Au: 0.250 0.750 0.500
As: 0.399 0.399 0.202
As: 0.601 0.601 0.798
Y: 0.000 0.000 0.000

Summary:
The value obtained for the energy is -24.389 eV per formula unit. For the formation energy, the calculation gives -0.4142 eV/atom. As for the space-group type: I4/mmm (139).